SrLa2Cu6 (PBE, relaxed); ΔH_f (0 K) = -0.1664 eV/atom; DOS(E_F) = 0.50 states/eV/atom
1.0
7.486 0.000 0.000
-3.743 6.483 0.000
0.000 0.000 3.969
Sr La Cu
1 2 6
Direct
0.000 0.000 0.000
0.333 0.667 0.000
0.667 0.333 0.000
0.000 0.335 0.500
0.000 0.665 0.500
0.335 0.000 0.500
0.335 0.335 0.500
0.665 0.000 0.500
0.665 0.665 0.500